(1)
The following is a PBE-GGA calculation of a relaxed structure of SrBi2CSe, from the Alexandria database.

Results
ΔE_f (raw) (eV per atom): 0.48
DFT total energy (eV/atom): -3.95

Cell: 4.933 5.434 4.933 Å, 90.00 90.00 90.00°
Sites, in units of the cell vectors:
Se: 0.000 0.500 0.000
C: 0.000 0.000 0.000
Bi: 0.000 0.000 0.500
Bi: 0.500 0.000 0.000
Sr: 0.500 0.500 0.500


(2)
The following is a PBE-GGA calculation of a relaxed structure of Tm8Bi4CSe3, from the Alexandria database.

Results
ΔE_f (raw) (eV per atom): -1.02
DFT total energy (eV/atom): -5.45

Cell: 8.237 8.442 8.236 Å, 119.21 120.00 90.00°
Sites, in units of the cell vectors:
Tm: 0.743 0.728 0.485
Tm: 0.781 0.293 0.012
Tm: 0.781 0.293 0.562
Tm: 0.219 0.707 0.988
Tm: 0.230 0.293 0.012
Tm: 0.770 0.707 0.988
Tm: 0.257 0.272 0.515
Tm: 0.219 0.707 0.438
Bi: 0.000 0.000 0.000
Bi: 0.500 0.000 0.000
Bi: 0.500 0.000 0.500
Bi: 0.000 0.000 0.500
C: 0.000 0.500 0.000
Se: 0.500 0.500 0.500
Se: 0.500 0.500 0.000
Se: 0.000 0.500 0.500


(3)
The following is a PBE-GGA calculation of a relaxed structure of Si3BiC, from the Alexandria database.

Results
ΔE_f (raw) (eV per atom): 2.83
DFT total energy (eV/atom): -3.04
Distance to the lowest polymorph of the same formula (meV per atom): 1824

Cell: 5.456 5.456 5.456 Å, 90.00 90.00 90.00°
Sites, in units of the cell vectors:
Bi: 0.000 0.000 0.000
Si: 0.000 0.000 0.500
Si: 0.500 0.000 0.000
Si: 0.000 0.500 0.000
C: 0.500 0.500 0.500


(4)
The following is a PBE-GGA calculation of a relaxed structure of Si3BiC, from the Alexandria database.

Results
ΔE_f (raw) (eV per atom): 1.01
DFT total energy (eV/atom): -4.87
Distance to the lowest polymorph of the same formula (meV per atom): 0

Cell: 4.347 4.347 4.347 Å, 90.00 90.00 90.00°
Sites, in units of the cell vectors:
Si: 0.000 0.000 0.500
Si: 0.000 0.500 0.000
Si: 0.500 0.000 0.000
Bi: 0.500 0.500 0.500
C: 0.000 0.000 0.000


> Which value of ΔE_f (raw) does entry 4 give?

1.01 eV per atom


> DFT total energy of number 4 (Si3BiC)?

-4.87 eV/atom


> Look up the ΔE_f (raw) of the fourth one.

1.01 eV per atom